1.
Rb12Pb | GGA-PBE | optimized geometry

## Properties
Calculated formation energy (eV/atom): 0.021
Magnetic moment (μB per formula unit): 0.0
Uncorrected energy (eV/cell): -30.09

a = 12.668 Å, b = 12.668 Å, c = 12.668 Å
α = 90.00°, β = 90.00°, γ = 90.00°
Space group Im-3 (No. 204)
Symmetry-distinct sites (fractional):
Rb  0.000  0.298  0.171
Pb  0.000  0.000  0.000

2.
Rb6Pb | GGA-PBE | optimized geometry

## Properties
Calculated formation energy (eV/atom): 0.555
Magnetic moment (μB per formula unit): 2.4
Uncorrected energy (eV/cell): -11.26

a = 11.963 Å, b = 11.963 Å, c = 11.963 Å
α = 90.00°, β = 90.00°, γ = 90.00°
Space group Im-3m (No. 229)
Symmetry-distinct sites (fractional):
Rb  0.000  0.250  0.500
Pb  0.000  0.000  0.000

3.
RbPb | GGA-PBE | optimized geometry

## Properties
Calculated formation energy (eV/atom): 0.779
Magnetic moment (μB per formula unit): 1.1
Polymorph energy (0 for the lowest one) (meV/atom): 1005.9
Uncorrected energy (eV/cell): -12.47

a = 8.443 Å, b = 8.443 Å, c = 8.443 Å
α = 90.00°, β = 90.00°, γ = 90.00°
Space group F-43m (No. 216)
Symmetry-distinct sites (fractional):
Rb  0.000  0.000  0.000
Pb  0.250  0.250  0.750

4.
RbPb | GGA-PBE | optimized geometry

## Properties
Calculated formation energy (eV/atom): -0.076
Magnetic moment (μB per formula unit): 0.0
Polymorph energy (0 for the lowest one) (meV/atom): 150.9
Uncorrected energy (eV/cell): -77.24

a = 6.986 Å, b = 11.158 Å, c = 18.505 Å
α = 90.00°, β = 90.00°, γ = 90.00°
Space group Fddd (No. 70, origin choice 2)
Symmetry-distinct sites (fractional):
Rb  0.125  0.291  0.125
Pb  0.125  0.125  0.545

5.
RbPb | GGA-PBE | optimized geometry

## Properties
Calculated formation energy (eV/atom): 0.049
Magnetic moment (μB per formula unit): 0.2
Polymorph energy (0 for the lowest one) (meV/atom): 275.2
Uncorrected energy (eV/cell): -4.58

a = 3.605 Å, b = 3.605 Å, c = 6.060 Å
α = 90.00°, β = 90.00°, γ = 90.00°
Space group P4/mmm (No. 123)
Symmetry-distinct sites (fractional):
Rb  0.000  0.000  0.000
Pb  0.500  0.500  0.500

6.
RbPb | GGA-PBE | optimized geometry

## Properties
Calculated formation energy (eV/atom): 0.010
Magnetic moment (μB per formula unit): 0.0
Polymorph energy (0 for the lowest one) (meV/atom): 236.6
Uncorrected energy (eV/cell): -27.94

a = 5.887 Å, b = 14.748 Å, c = 6.498 Å
α = 90.00°, β = 90.00°, γ = 90.00°
Space group Amm2 (No. 38)
Symmetry-distinct sites (fractional):
Rb  0.000  0.000  0.000
Rb  0.000  0.160  0.548
Pb  0.500  0.000  0.359
Pb  0.500  0.191  0.169

7.
RbPb | GGA-PBE | optimized geometry

## Properties
Calculated formation energy (eV/atom): -0.066
Magnetic moment (μB per formula unit): 0.0
Polymorph energy (0 for the lowest one) (meV/atom): 160.9
Uncorrected energy (eV/cell): -38.46

a = 8.225 Å, b = 8.225 Å, c = 9.567 Å
α = 90.00°, β = 90.00°, γ = 90.00°
Space group P4_32_12 (No. 96)
Symmetry-distinct sites (fractional):
Rb  0.044  0.238  0.362
Pb  0.014  0.266  0.917

8.
RbPb | GGA-PBE | optimized geometry

## Properties
Calculated formation energy (eV/atom): -0.126
Magnetic moment (μB per formula unit): 0.1
Polymorph energy (0 for the lowest one) (meV/atom): 100.4
Uncorrected energy (eV/cell): -29.57

a = 10.4233 Å, b = 10.4233 Å, c = 6.3078 Å
α = 90.00°, β = 90.00°, γ = 120.00°
Space group P6_3/mmc (No. 194)
Symmetry-distinct sites (fractional):
Rb  0.1837  0.3675  0.2500
Pb  0.1323  0.5662  0.7500

9.
Rb4Pb | GGA-PBE | optimized geometry

## Properties
Calculated formation energy (eV/atom): 0.055
Magnetic moment (μB per formula unit): 0.7
Polymorph energy (0 for the lowest one) (meV/atom): 65.1
Uncorrected energy (eV/cell): -7.30

a = 7.353 Å, b = 7.353 Å, c = 7.353 Å
α = 90.00°, β = 90.00°, γ = 90.00°
Space group Pm-3m (No. 221)
Symmetry-distinct sites (fractional):
Rb  0.000  0.000  0.000
Rb  0.000  0.500  0.500
Pb  0.500  0.500  0.500

10.
Rb2Pb | GGA-PBE | optimized geometry

## Properties
Calculated formation energy (eV/atom): -0.081
Magnetic moment (μB per formula unit): 0.0
Polymorph energy (0 for the lowest one) (meV/atom): 0.0
Uncorrected energy (eV/cell): -23.55

a = 13.862 Å, b = 4.798 Å, c = 10.771 Å
α = 90.00°, β = 108.07°, γ = 90.00°
Space group C2/m (No. 12)
Symmetry-distinct sites (fractional):
Rb  0.020  0.000  0.180
Rb  0.172  0.500  0.648
Pb  0.202  0.500  0.048

11.
RbPb | GGA-PBE | optimized geometry

## Properties
Calculated formation energy (eV/atom): -0.227
Magnetic moment (μB per formula unit): 0.0
Polymorph energy (0 for the lowest one) (meV/atom): 0.0
Uncorrected energy (eV/cell): -164.14

a = 12.082 Å, b = 12.082 Å, c = 19.772 Å
α = 90.00°, β = 90.00°, γ = 90.00°
Space group I4_1/acd (No. 142, origin choice 2)
Symmetry-distinct sites (fractional):
Rb  0.121  0.129  0.125
Rb  0.135  0.000  0.750
Pb  0.061  0.135  0.932

12.
RbPb8 | GGA-PBE | optimized geometry

## Properties
Calculated formation energy (eV/atom): -0.031
Magnetic moment (μB per formula unit): 0.0
Uncorrected energy (eV/cell): -61.83

a = 12.042 Å, b = 11.059 Å, c = 5.001 Å
α = 90.00°, β = 113.54°, γ = 90.00°
Space group C2/m (No. 12)
Symmetry-distinct sites (fractional):
Rb  0.000  0.000  0.000
Pb  0.000  0.346  0.000
Pb  0.154  0.500  0.649
Pb  0.182  0.182  0.683

13.
RbPb | GGA-PBE | optimized geometry

## Properties
Calculated formation energy (eV/atom): 0.611
Magnetic moment (μB per formula unit): 1.2
Polymorph energy (0 for the lowest one) (meV/atom): 837.8
Uncorrected energy (eV/cell): -6.91

a = 6.4971 Å, b = 6.4971 Å, c = 7.4640 Å
α = 90.00°, β = 90.00°, γ = 120.00°
Space group P6_3/mmc (No. 194)
Symmetry-distinct sites (fractional):
Rb  0.3333  0.6667  0.2500
Pb  0.3333  0.6667  0.7500

14.
RbPb | GGA-PBE | optimized geometry

## Properties
Calculated formation energy (eV/atom): -0.141
Magnetic moment (μB per formula unit): 0.0
Polymorph energy (0 for the lowest one) (meV/atom): 85.5
Uncorrected energy (eV/cell): -19.83

a = 4.802 Å, b = 6.352 Å, c = 11.585 Å
α = 90.00°, β = 90.00°, γ = 90.00°
Space group Imma (No. 74)
Symmetry-distinct sites (fractional):
Rb  0.000  0.250  0.096
Pb  0.000  0.250  0.669

15.
RbPb | GGA-PBE | optimized geometry

## Properties
Calculated formation energy (eV/atom): -0.079
Magnetic moment (μB per formula unit): 0.0
Polymorph energy (0 for the lowest one) (meV/atom): 147.8
Uncorrected energy (eV/cell): -9.67

a = 4.157 Å, b = 5.370 Å, c = 7.856 Å
α = 90.00°, β = 104.91°, γ = 90.00°
Space group P2_1/m (No. 11)
Symmetry-distinct sites (fractional):
Rb  0.156  0.250  0.321
Pb  0.442  0.250  0.880

16.
Rb5Pb4 | GGA-PBE | optimized geometry

## Properties
Calculated formation energy (eV/atom): -0.091
Magnetic moment (μB per formula unit): 0.0
Uncorrected energy (eV/cell): -40.98

a = 12.523 Å, b = 6.355 Å, c = 11.960 Å
α = 90.00°, β = 115.08°, γ = 90.00°
Space group C2/m (No. 12)
Symmetry-distinct sites (fractional):
Rb  0.000  0.000  0.000
Rb  0.115  0.500  0.852
Rb  0.197  0.500  0.548
Pb  0.039  0.000  0.643
Pb  0.207  0.500  0.204

17.
RbPb | GGA-PBE | optimized geometry

## Properties
Calculated formation energy (eV/atom): -0.078
Magnetic moment (μB per formula unit): 0.0
Polymorph energy (0 for the lowest one) (meV/atom): 149.1
Uncorrected energy (eV/cell): -38.65

a = 10.952 Å, b = 10.952 Å, c = 10.952 Å
α = 90.00°, β = 90.00°, γ = 90.00°
Space group I-43m (No. 217)
Symmetry-distinct sites (fractional):
Rb  0.207  0.207  0.207
Pb  0.101  0.101  0.899

18.
RbPb | GGA-PBE | optimized geometry

## Properties
Calculated formation energy (eV/atom): -0.082
Magnetic moment (μB per formula unit): 0.0
Polymorph energy (0 for the lowest one) (meV/atom): 144.5
Uncorrected energy (eV/cell): -38.72

a = 13.967 Å, b = 13.967 Å, c = 4.898 Å
α = 90.00°, β = 90.00°, γ = 90.00°
Space group I4/mmm (No. 139)
Symmetry-distinct sites (fractional):
Rb  0.000  0.242  0.000
Pb  0.205  0.205  0.500

19.
Rb2RePb | GGA-PBE | optimized geometry

## Properties
Calculated formation energy (eV/atom): 1.111
Magnetic moment (μB per formula unit): 2.6
Uncorrected energy (eV/cell): -54.59

a = 13.529 Å, b = 13.529 Å, c = 5.330 Å
α = 90.00°, β = 90.00°, γ = 90.00°
Space group I-42d (No. 122)
Symmetry-distinct sites (fractional):
Rb  0.055  0.250  0.125
Re  0.000  0.000  0.000
Pb  0.000  0.000  0.500

20.
Rb2Re2Pb | GGA-PBE | optimized geometry

## Properties
Calculated formation energy (eV/atom): 1.769
Magnetic moment (μB per formula unit): 1.7
Polymorph energy (0 for the lowest one) (meV/atom): 980.0
Uncorrected energy (eV/cell): -43.39

a = 4.579 Å, b = 4.579 Å, c = 15.371 Å
α = 90.00°, β = 90.00°, γ = 90.00°
Space group I4/mmm (No. 139)
Symmetry-distinct sites (fractional):
Rb  0.000  0.500  0.250
Re  0.000  0.000  0.070
Pb  0.000  0.000  0.500

21.
RbRe3Pb | GGA-PBE | optimized geometry

## Properties
Calculated formation energy (eV/atom): 3.117
Magnetic moment (μB per formula unit): 5.3
Polymorph energy (0 for the lowest one) (meV/atom): 0.0
Uncorrected energy (eV/cell): -26.43

a = 5.195 Å, b = 5.195 Å, c = 5.195 Å
α = 90.00°, β = 90.00°, γ = 90.00°
Space group Pm-3m (No. 221)
Symmetry-distinct sites (fractional):
Rb  0.000  0.000  0.000
Re  0.000  0.500  0.500
Pb  0.500  0.500  0.500

22.
Rb3RePb | GGA-PBE | optimized geometry

## Properties
Calculated formation energy (eV/atom): 1.473
Magnetic moment (μB per formula unit): 4.0
Uncorrected energy (eV/cell): -11.69

a = 7.059 Å, b = 7.059 Å, c = 7.059 Å
α = 90.00°, β = 90.00°, γ = 90.00°
Space group Pm-3m (No. 221)
Symmetry-distinct sites (fractional):
Rb  0.000  0.000  0.500
Re  0.500  0.500  0.500
Pb  0.000  0.000  0.000